--- 1 ---
# TaBe3In, relaxed, DFT PBE-GGA
# **Crystal system**: cubic
# **DOS(E_F)**: 2.69 states/eV/cell
# **Calculated density**: 6.69 g cm⁻³
data_TaBe3In
_chemical_formula_sum 'Ta1 Be3 In1'
_cell_length_a 4.310
_cell_length_b 4.310
_cell_length_c 4.310
_cell_angle_alpha 90.00
_cell_angle_beta 90.00
_cell_angle_gamma 90.00
_space_group_name_H-M_alt 'P m -3 m'
_space_group_IT_number 221
_space_group_name_Hall '-P 4 2 3'
loop_
_atom_site_label
_atom_site_type_symbol
_atom_site_fract_x
_atom_site_fract_y
_atom_site_fract_z
_atom_site_occupancy
Ta1 Ta 0.000 0.000 0.000 1
Be1 Be 0.000 0.500 0.500 1
In1 In 0.500 0.500 0.500 1

=====

--- 2 ---
# TaBe3In, relaxed, DFT PBE-GGA
# **Crystal system**: cubic
# **DOS(E_F)**: 2.51 states/eV/cell
# **Calculated density**: 5.75 g cm⁻³
data_TaBe3In
_chemical_formula_sum 'Ta1 Be3 In1'
_cell_length_a 4.535
_cell_length_b 4.535
_cell_length_c 4.535
_cell_angle_alpha 90.00
_cell_angle_beta 90.00
_cell_angle_gamma 90.00
_space_group_name_H-M_alt 'P m -3 m'
_space_group_IT_number 221
_space_group_name_Hall '-P 4 2 3'
loop_
_atom_site_label
_atom_site_type_symbol
_atom_site_fract_x
_atom_site_fract_y
_atom_site_fract_z
_atom_site_occupancy
Ta1 Ta 0.000 0.000 0.000 1
Be1 Be 0.000 0.000 0.500 1
In1 In 0.500 0.500 0.500 1

=====

2 is the most stable structure; the next one sits 0.083 eV/atom above it.

=====

--- 1 ---
# Tb2BeIn, relaxed, DFT PBE-GGA
# **Crystal system**: trigonal
# **DOS(E_F)**: 10.41 states/eV/cell
# **Calculated density**: 6.77 g cm⁻³
data_Tb2BeIn
_chemical_formula_sum 'Tb6 Be3 In3'
_cell_length_a 3.4523
_cell_length_b 3.4523
_cell_length_c 31.4860
_cell_angle_alpha 90.00
_cell_angle_beta 90.00
_cell_angle_gamma 120.00
_space_group_name_H-M_alt 'R -3 m'
_space_group_IT_number 166
_space_group_name_Hall '-R 3 2"'
loop_
_atom_site_label
_atom_site_type_symbol
_atom_site_fract_x
_atom_site_fract_y
_atom_site_fract_z
_atom_site_occupancy
Tb1 Tb 0.0000 0.0000 0.1036 1
Be1 Be 0.0000 0.0000 0.5000 1
In1 In 0.0000 0.0000 0.0000 1

=====

--- 2 ---
# Tb2BeIn, relaxed, DFT PBE-GGA
# **Crystal system**: tetragonal
# **DOS(E_F)**: 1.61 states/eV/cell
# **Calculated density**: 7.85 g cm⁻³
data_Tb2BeIn
_chemical_formula_sum 'Tb2 Be1 In1'
_cell_length_a 3.534
_cell_length_b 3.534
_cell_length_c 7.486
_cell_angle_alpha 90.00
_cell_angle_beta 90.00
_cell_angle_gamma 90.00
_space_group_name_H-M_alt 'P 4/m m m'
_space_group_IT_number 123
_space_group_name_Hall '-P 4 2'
loop_
_atom_site_label
_atom_site_type_symbol
_atom_site_fract_x
_atom_site_fract_y
_atom_site_fract_z
_atom_site_occupancy
Tb1 Tb 0.000 0.000 0.218 1
Be1 Be 0.500 0.500 0.000 1
In1 In 0.500 0.500 0.500 1

=====

--- 3 ---
# Tb2BeIn, relaxed, DFT PBE-GGA
# **Crystal system**: cubic
# **DOS(E_F)**: 15.36 states/eV/cell
# **Calculated density**: 7.64 g cm⁻³
data_Tb2BeIn
_chemical_formula_sum 'Tb8 Be4 In4'
_cell_length_a 7.269
_cell_length_b 7.269
_cell_length_c 7.269
_cell_angle_alpha 90.00
_cell_angle_beta 90.00
_cell_angle_gamma 90.00
_space_group_name_H-M_alt 'F m -3 m'
_space_group_IT_number 225
_space_group_name_Hall '-F 4 2 3'
loop_
_atom_site_label
_atom_site_type_symbol
_atom_site_fract_x
_atom_site_fract_y
_atom_site_fract_z
_atom_site_occupancy
Tb1 Tb 0.250 0.250 0.250 1
Be1 Be 0.000 0.000 0.000 1
In1 In 0.000 0.000 0.500 1

=====

2 is the most stable structure; the next one sits 0.075 eV/atom above it.

=====

--- 1 ---
# TbBeIn, relaxed, DFT PBE-GGA
# **Crystal system**: monoclinic
# **DOS(E_F)**: 3.12 states/eV/cell
# **Calculated density**: 6.87 g cm⁻³
data_TbBeIn
_chemical_formula_sum 'Tb2 Be2 In2'
_cell_length_a 4.580
_cell_length_b 4.554
_cell_length_c 6.613
_cell_angle_alpha 90.00
_cell_angle_beta 97.95
_cell_angle_gamma 90.00
_space_group_name_H-M_alt 'P 1 m 1'
_space_group_IT_number 6
loop_
_space_group_symop_operation_xyz
'x,y,z'
'x,-y,z'
loop_
_atom_site_label
_atom_site_type_symbol
_atom_site_fract_x
_atom_site_fract_y
_atom_site_fract_z
_atom_site_occupancy
Tb1 Tb 0.000 0.000 0.000 1
Tb2 Tb 0.089 0.500 0.397 1
Be1 Be 0.558 0.000 0.290 1
Be2 Be 0.890 0.000 0.544 1
In1 In 0.434 0.000 0.681 1
In2 In 0.508 0.500 0.053 1

=====

--- 2 ---
# TbBeIn, relaxed, DFT PBE-GGA
# **Crystal system**: cubic
# **DOS(E_F)**: 5.41 states/eV/cell
# **Calculated density**: 7.18 g cm⁻³
data_TbBeIn
_chemical_formula_sum 'Tb4 Be4 In4'
_cell_length_a 6.395
_cell_length_b 6.395
_cell_length_c 6.395
_cell_angle_alpha 90.00
_cell_angle_beta 90.00
_cell_angle_gamma 90.00
_space_group_name_H-M_alt 'F -4 3 m'
_space_group_IT_number 216
_space_group_name_Hall 'F -4 2 3'
loop_
_atom_site_label
_atom_site_type_symbol
_atom_site_fract_x
_atom_site_fract_y
_atom_site_fract_z
_atom_site_occupancy
Tb1 Tb 0.000 0.000 0.000 1
Be1 Be 0.250 0.250 0.250 1
In1 In 0.000 0.000 0.500 1

=====

2 is the most stable structure; the next one sits 0.221 eV/atom above it.

=====

--- 1 ---
# Be3InTc, relaxed, DFT PBE-GGA
# **Crystal system**: cubic
# **DOS(E_F)**: 1.99 states/eV/cell
# **Calculated density**: 5.13 g cm⁻³
data_Be3InTc
_chemical_formula_sum 'Be3 In1 Tc1'
_cell_length_a 4.267
_cell_length_b 4.267
_cell_length_c 4.267
_cell_angle_alpha 90.00
_cell_angle_beta 90.00
_cell_angle_gamma 90.00
_space_group_name_H-M_alt 'P m -3 m'
_space_group_IT_number 221
_space_group_name_Hall '-P 4 2 3'
loop_
_atom_site_label
_atom_site_type_symbol
_atom_site_fract_x
_atom_site_fract_y
_atom_site_fract_z
_atom_site_occupancy
Be1 Be 0.000 0.000 0.500 1
In1 In 0.500 0.500 0.500 1
Tc1 Tc 0.000 0.000 0.000 1

=====

--- 2 ---
# Be3InTc, relaxed, DFT PBE-GGA
# **Crystal system**: cubic
# **DOS(E_F)**: 2.67 states/eV/cell
# **Calculated density**: 4.80 g cm⁻³
data_Be3InTc
_chemical_formula_sum 'Be3 In1 Tc1'
_cell_length_a 4.360
_cell_length_b 4.360
_cell_length_c 4.360
_cell_angle_alpha 90.00
_cell_angle_beta 90.00
_cell_angle_gamma 90.00
_space_group_name_H-M_alt 'P m -3 m'
_space_group_IT_number 221
_space_group_name_Hall '-P 4 2 3'
loop_
_atom_site_label
_atom_site_type_symbol
_atom_site_fract_x
_atom_site_fract_y
_atom_site_fract_z
_atom_site_occupancy
Be1 Be 0.000 0.000 0.500 1
In1 In 0.000 0.000 0.000 1
Tc1 Tc 0.500 0.500 0.500 1

=====

1 is the most stable structure; the next one sits 0.818 eV/atom above it.

=====

--- 1 ---
# BeIn3Tc, relaxed, DFT PBE-GGA
# **Crystal system**: cubic
# **DOS(E_F)**: 3.10 states/eV/cell
# **Calculated density**: 5.31 g cm⁻³
data_BeIn3Tc
_chemical_formula_sum 'Be1 In3 Tc1'
_cell_length_a 5.205
_cell_length_b 5.205
_cell_length_c 5.205
_cell_angle_alpha 90.00
_cell_angle_beta 90.00
_cell_angle_gamma 90.00
_space_group_name_H-M_alt 'P m -3 m'
_space_group_IT_number 221
_space_group_name_Hall '-P 4 2 3'
loop_
_atom_site_label
_atom_site_type_symbol
_atom_site_fract_x
_atom_site_fract_y
_atom_site_fract_z
_atom_site_occupancy
Be1 Be 0.000 0.000 0.000 1
In1 In 0.000 0.500 0.500 1
Tc1 Tc 0.500 0.500 0.500 1

=====

--- 2 ---
# BeIn3Tc, relaxed, DFT PBE-GGA
# **Crystal system**: cubic
# **DOS(E_F)**: 3.67 states/eV/cell
# **Calculated density**: 6.84 g cm⁻³
data_BeIn3Tc
_chemical_formula_sum 'Be1 In3 Tc1'
_cell_length_a 4.786
_cell_length_b 4.786
_cell_length_c 4.786
_cell_angle_alpha 90.00
_cell_angle_beta 90.00
_cell_angle_gamma 90.00
_space_group_name_H-M_alt 'P m -3 m'
_space_group_IT_number 221
_space_group_name_Hall '-P 4 2 3'
loop_
_atom_site_label
_atom_site_type_symbol
_atom_site_fract_x
_atom_site_fract_y
_atom_site_fract_z
_atom_site_occupancy
Be1 Be 0.000 0.000 0.000 1
In1 In 0.000 0.000 0.500 1
Tc1 Tc 0.500 0.500 0.500 1

=====

1 is the most stable structure; the next one sits 0.073 eV/atom above it.

=====

--- 1 ---
# BeIn2Te, relaxed, DFT PBE-GGA
# **Crystal system**: monoclinic
# **DOS(E_F)**: 1.88 states/eV/cell
# **Calculated density**: 6.00 g cm⁻³
data_BeIn2Te
_chemical_formula_sum 'Be2 In4 Te2'
_cell_length_a 6.608
_cell_length_b 3.839
_cell_length_c 8.476
_cell_angle_alpha 90.00
_cell_angle_beta 109.43
_cell_angle_gamma 90.00
_space_group_name_H-M_alt 'C 1 m 1'
_space_group_IT_number 8
loop_
_space_group_symop_operation_xyz
'x,y,z'
'x,-y,z'
'x+1/2,y+1/2,z'
'x+1/2,-y+1/2,z'
loop_
_atom_site_label
_atom_site_type_symbol
_atom_site_fract_x
_atom_site_fract_y
_atom_site_fract_z
_atom_site_occupancy
Be1 Be 0.000 0.000 0.000 1
In1 In 0.222 0.000 0.767 1
In2 In 0.424 0.000 0.468 1
Te1 Te 0.223 0.500 0.129 1

=====

--- 2 ---
# BeIn2Te, relaxed, DFT PBE-GGA
# **Crystal system**: monoclinic
# **DOS(E_F)**: 1.81 states/eV/cell
# **Calculated density**: 6.47 g cm⁻³
data_BeIn2Te
_chemical_formula_sum 'Be1 In2 Te1'
_cell_length_a 3.023
_cell_length_b 3.828
_cell_length_c 8.127
_cell_angle_alpha 90.00
_cell_angle_beta 90.65
_cell_angle_gamma 90.00
_space_group_name_H-M_alt 'P 1 2/m 1'
_space_group_IT_number 10
loop_
_space_group_symop_operation_xyz
'x,y,z'
'-x,-y,-z'
'-x,y,-z'
'x,-y,z'
loop_
_atom_site_label
_atom_site_type_symbol
_atom_site_fract_x
_atom_site_fract_y
_atom_site_fract_z
_atom_site_occupancy
Be1 Be 0.000 0.000 0.000 1
In1 In 0.494 0.500 0.192 1
Te1 Te 0.500 0.000 0.500 1

=====

--- 3 ---
# BeIn2Te, relaxed, DFT PBE-GGA
# **Crystal system**: tetragonal
# **DOS(E_F)**: 1.74 states/eV/cell
# **Calculated density**: 6.34 g cm⁻³
data_BeIn2Te
_chemical_formula_sum 'Be1 In2 Te1'
_cell_length_a 3.076
_cell_length_b 3.076
_cell_length_c 10.135
_cell_angle_alpha 90.00
_cell_angle_beta 90.00
_cell_angle_gamma 90.00
_space_group_name_H-M_alt 'P 4/m m m'
_space_group_IT_number 123
_space_group_name_Hall '-P 4 2'
loop_
_atom_site_label
_atom_site_type_symbol
_atom_site_fract_x
_atom_site_fract_y
_atom_site_fract_z
_atom_site_occupancy
Be1 Be 0.000 0.000 0.000 1
In1 In 0.500 0.500 0.184 1
Te1 Te 0.000 0.000 0.500 1

=====

--- 4 ---
# BeIn2Te, relaxed, DFT PBE-GGA
# **Crystal system**: tetragonal
# **DOS(E_F)**: 3.13 states/eV/cell
# **Calculated density**: 6.12 g cm⁻³
data_BeIn2Te
_chemical_formula_sum 'Be2 In4 Te2'
_cell_length_a 4.127
_cell_length_b 4.127
_cell_length_c 11.661
_cell_angle_alpha 90.00
_cell_angle_beta 90.00
_cell_angle_gamma 90.00
_space_group_name_H-M_alt 'I 4/m m m'
_space_group_IT_number 139
_space_group_name_Hall '-I 4 2'
loop_
_atom_site_label
_atom_site_type_symbol
_atom_site_fract_x
_atom_site_fract_y
_atom_site_fract_z
_atom_site_occupancy
Be1 Be 0.000 0.000 0.000 1
In1 In 0.000 0.500 0.250 1
Te1 Te 0.000 0.000 0.500 1

=====

1 is the most stable structure; the next one sits 0.234 eV/atom above it.